Entry 1:
A geometry-optimized PmMgAl structure. Source: OQMD via LeMat-Bulk, functional PBE-GGA.

Cell and atoms, written as POSCAR:
```
PmMgAl
1.0
0.000 3.425 3.425
3.425 0.000 3.425
3.425 3.425 0.000
Pm Mg Al
1 1 1
direct
0.000 0.000 0.000
0.750 0.750 0.750
0.500 0.500 0.500
```

Results
* E: -3.303 eV/atom
* relative energy among the computed polymorphs: 0 meV/atom

---

Entry 2:
A geometry-optimized BaTmAgSe2S structure. Source: OQMD via LeMat-Bulk, functional PBE-GGA.

Cell and atoms, written as POSCAR:
```
BaTmAgSe2S
1.0
2.112 -7.069 0.000
2.112 7.069 0.000
0.000 0.000 10.464
Ba Tm Ag Se S
2 2 2 4 2
direct
0.242 0.758 0.750
0.758 0.242 0.250
0.500 0.500 0.000
0.500 0.500 0.500
0.030 0.970 0.250
0.970 0.030 0.750
0.137 0.863 0.046
0.137 0.863 0.454
0.863 0.137 0.546
0.863 0.137 0.954
0.428 0.572 0.250
0.572 0.428 0.750
```

Results
* E: -4.958 eV/atom

---

Entry 3:
A geometry-optimized Co2SnHg3 structure. Source: OQMD via LeMat-Bulk, functional PBE-GGA.

Cell and atoms, written as POSCAR:
```
Co2SnHg3
1.0
5.910 0.000 0.000
-2.955 5.119 0.000
0.000 0.000 4.057
Co Sn Hg
2 1 3
direct
0.333 0.667 0.000
0.667 0.333 0.000
0.000 0.000 0.000
0.000 0.500 0.500
0.500 0.000 0.500
0.500 0.500 0.500
```

Results
* E: -2.649 eV/atom

---

E of number 2 (BaTmAgSe2S)? -4.958 eV/atom